The following is a DFT calculation (GGA-PBE) of a relaxed structure of NaYC.

The structure in POSCAR format:
```
NaYC
1.0
4.432 0.000 0.000
-2.216 3.839 0.000
0.000 0.000 5.654
Na Y C
2 2 2
Direct
0.000 0.000 0.000
0.000 0.000 0.500
0.333 0.667 0.261
0.667 0.333 0.761
0.333 0.667 0.719
0.667 0.333 0.219
```

Computed properties:
For the energy of formation, the calculation gives 0.338 eV per atom. The value obtained for the energy is -32.0 eV/cell. The calculation puts the density of states at the Fermi level at 0.00 states/eV per cell. For the magnetic moment, the calculation gives 0.00 μB/f.u. The polymorph energy (0 for the lowest one) is 472 meV/atom.

The following is a DFT calculation (GGA-PBE) of a relaxed structure of ReMo2Cl.

The structure in POSCAR format:
```
ReMo2Cl
1.0
3.071 0.000 0.000
0.000 4.716 0.000
0.000 0.000 8.810
Re Mo Cl
2 4 2
Direct
0.000 0.000 0.000
0.500 0.500 0.000
0.000 0.500 0.246
0.000 0.500 0.754
0.500 0.000 0.246
0.500 0.000 0.754
0.000 0.000 0.500
0.500 0.500 0.500
```

Computed properties:
The calculation puts the uncorrected formation energy at 0.42 eV/atom. The value obtained for the energy is -68.5 eV/cell. The calculation puts the density of states at the Fermi level at 4.83 states/eV per cell. For the magnetic moment, the calculation gives 0.00 μB/f.u. The polymorph energy (0 for the lowest one) is 184 meV/atom.

The following is a DFT calculation (GGA-PBE) of a relaxed structure of PmCdInGe.

The structure in POSCAR format:
```
PmCdInGe
1.0
7.321 0.000 0.000
0.000 7.321 0.000
0.000 0.000 7.321
Pm Cd In Ge
4 4 4 4
Direct
0.000 0.000 0.000
0.000 0.500 0.500
0.500 0.000 0.500
0.500 0.500 0.000
0.000 0.000 0.500
0.000 0.500 0.000
0.500 0.000 0.000
0.500 0.500 0.500
0.250 0.250 0.250
0.250 0.750 0.750
0.750 0.250 0.750
0.750 0.750 0.250
0.250 0.250 0.750
0.250 0.750 0.250
0.750 0.250 0.250
0.750 0.750 0.750
```

Computed properties:
For the energy of formation, the calculation gives -0.199 eV per atom. The value obtained for the energy is -55.3 eV/cell. The calculation puts the density of states at the Fermi level at 7.96 states/eV per cell. For the magnetic moment, the calculation gives 0.00 μB/f.u. The polymorph energy (0 for the lowest one) is 244 meV/atom.

The following is a DFT calculation (GGA-PBE) of a relaxed structure of Ac6Pt3Rh2S.

The structure in POSCAR format:
```
Ac6Pt3Rh2S
1.0
9.487 -2.169 0.000
9.487 2.169 0.000
-1.974 0.000 8.586
Ac Pt Rh S
6 3 2 1
Direct
0.004 0.004 0.257
0.330 0.330 0.907
0.331 0.331 0.418
0.669 0.669 0.582
0.670 0.670 0.093
0.996 0.996 0.743
0.162 0.162 0.835
0.500 0.500 0.500
0.838 0.838 0.165
0.165 0.165 0.332
0.835 0.835 0.668
0.500 0.500 0.000
```

Computed properties:
The calculation puts the uncorrected formation energy at -1.12 eV/atom. The value obtained for the energy is -75.0 eV/cell. The calculation puts the density of states at the Fermi level at 5.29 states/eV per cell. For the magnetic moment, the calculation gives 0.00 μB/f.u.

The following is a DFT calculation (GGA-PBE) of a relaxed structure of K3Ac3TiO8.

The structure in POSCAR format:
```
K3Ac3TiO8
1.0
3.658 2.112 6.336
-3.658 2.112 6.336
0.000 -4.224 6.336
K Ac Ti O
3 3 1 8
Direct
0.000 0.500 0.500
0.500 0.000 0.500
0.500 0.500 0.000
0.000 0.000 0.500
0.000 0.500 0.000
0.500 0.000 0.000
0.500 0.500 0.500
0.234 0.234 0.234
0.278 0.696 0.696
0.304 0.304 0.722
0.304 0.722 0.304
0.696 0.278 0.696
0.696 0.696 0.278
0.722 0.304 0.304
0.766 0.766 0.766
```

Computed properties:
The calculation puts the uncorrected formation energy at -2.63 eV/atom. The value obtained for the energy is -102.6 eV/cell. The calculation puts the density of states at the Fermi level at 0.00 states/eV per cell. For the magnetic moment, the calculation gives 0.00 μB/f.u.

The following is a DFT calculation (GGA-PBE) of a relaxed structure of Fe2OsRu2.

The structure in POSCAR format:
```
Fe2OsRu2
1.0
7.019 0.000 0.000
0.000 7.019 0.000
0.000 0.000 2.651
Fe Os Ru
4 2 4
Direct
0.172 0.328 0.000
0.328 0.828 0.000
0.672 0.172 0.000
0.828 0.672 0.000
0.000 0.000 0.500
0.500 0.500 0.500
0.126 0.626 0.500
0.374 0.126 0.500
0.626 0.874 0.500
0.874 0.374 0.500
```

Computed properties:
For the energy of formation, the calculation gives 0.421 eV per atom. The value obtained for the energy is -89.2 eV/cell. The calculation puts the density of states at the Fermi level at 10.95 states/eV per cell. For the magnetic moment, the calculation gives 1.16 μB/f.u. The polymorph energy (0 for the lowest one) is 144 meV/atom.

The following is a DFT calculation (GGA-PBE) of a relaxed structure of Zn2MoCl.

The structure in POSCAR format:
```
Zn2MoCl
1.0
2.901 0.000 0.000
0.000 2.901 0.000
0.000 0.000 7.910
Zn Mo Cl
2 1 1
Direct
0.000 0.000 0.239
0.000 0.000 0.761
0.500 0.500 0.000
0.500 0.500 0.500
```

Computed properties:
The calculation puts the uncorrected formation energy at 0.16 eV/atom. The value obtained for the energy is -14.6 eV/cell. The calculation puts the density of states at the Fermi level at 2.65 states/eV per cell. For the magnetic moment, the calculation gives 0.00 μB/f.u. The polymorph energy (0 for the lowest one) is 78 meV/atom.

The following is a DFT calculation (GGA-PBE) of a relaxed structure of Sr2Ag2Sn.

The structure in POSCAR format:
```
Sr2Ag2Sn
1.0
5.379 -3.078 0.000
5.379 3.078 0.000
-2.290 0.000 8.603
Sr Ag Sn
4 4 2
Direct
0.008 0.294 0.150
0.294 0.008 0.650
0.706 0.992 0.350
0.992 0.706 0.850
0.231 0.499 0.506
0.499 0.231 0.006
0.501 0.769 0.994
0.769 0.501 0.494
0.329 0.671 0.250
0.671 0.329 0.750
```

Computed properties:
For the energy of formation, the calculation gives -0.454 eV per atom. The value obtained for the energy is -30.7 eV/cell. The calculation puts the density of states at the Fermi level at 1.95 states/eV per cell. For the magnetic moment, the calculation gives 0.00 μB/f.u. The polymorph energy (0 for the lowest one) is 0 meV/atom.

Repeat the eighth record exactly.
The following is a DFT calculation (GGA-PBE) of a relaxed structure of Sr2Ag2Sn.

The structure in POSCAR format:
```
Sr2Ag2Sn
1.0
5.379 -3.078 0.000
5.379 3.078 0.000
-2.290 0.000 8.603
Sr Ag Sn
4 4 2
Direct
0.008 0.294 0.150
0.294 0.008 0.650
0.706 0.992 0.350
0.992 0.706 0.850
0.231 0.499 0.506
0.499 0.231 0.006
0.501 0.769 0.994
0.769 0.501 0.494
0.329 0.671 0.250
0.671 0.329 0.750
```

Computed properties:
For the energy of formation, the calculation gives -0.454 eV per atom. The value obtained for the energy is -30.7 eV/cell. The calculation puts the density of states at the Fermi level at 1.95 states/eV per cell. For the magnetic moment, the calculation gives 0.00 μB/f.u. The polymorph energy (0 for the lowest one) is 0 meV/atom.

Copy entry 6 word for word.
The following is a DFT calculation (GGA-PBE) of a relaxed structure of Fe2OsRu2.

The structure in POSCAR format:
```
Fe2OsRu2
1.0
7.019 0.000 0.000
0.000 7.019 0.000
0.000 0.000 2.651
Fe Os Ru
4 2 4
Direct
0.172 0.328 0.000
0.328 0.828 0.000
0.672 0.172 0.000
0.828 0.672 0.000
0.000 0.000 0.500
0.500 0.500 0.500
0.126 0.626 0.500
0.374 0.126 0.500
0.626 0.874 0.500
0.874 0.374 0.500
```

Computed properties:
For the energy of formation, the calculation gives 0.421 eV per atom. The value obtained for the energy is -89.2 eV/cell. The calculation puts the density of states at the Fermi level at 10.95 states/eV per cell. For the magnetic moment, the calculation gives 1.16 μB/f.u. The polymorph energy (0 for the lowest one) is 144 meV/atom.

The lowest energy belongs to which entry? K3Ac3TiO8